Entry 1:
A geometry-optimized LiAlFeRh structure, computed with PBE.

POSCAR file:
```
LiAlFeRh
1.0
-3.972 1.100 -0.851
-2.983 -0.451 2.934
-1.681 3.396 1.830
Li Rh Fe Al
1 1 1 1
Cartesian
-2.159 1.011 0.978 Li
-6.477 3.034 2.935 Rh
0.000 0.000 0.000 Fe
-4.318 2.023 1.957 Al
```

- E_tot (eV per atom) = -5.763
- V (A^3/atom) = 13.2
- magnetic moment (Bohr magnetons per cell) = 3.0
- SG = No. 216

---

Entry 2:
A geometry-optimized Li2AlFeRh structure, computed with PBE.

POSCAR file:
```
Li2AlFeRh
1.0
4.121 0.000 0.000
0.000 4.533 0.000
0.000 0.000 4.121
Li Rh Fe Al
2 1 1 1
Cartesian
0.000 0.000 2.061 Li
2.061 0.000 0.000 Li
2.061 2.267 2.061 Rh
0.000 0.000 0.000 Fe
0.000 2.267 0.000 Al
```

- E_tot (eV per atom) = -3.924
- V (A^3/atom) = 15.4
- magnetic moment (Bohr magnetons per cell) = 2.0
- SG = No. 123

---

Entry 3:
A geometry-optimized LiSmAlFe structure, computed with PBE.

POSCAR file:
```
LiSmAlFe
1.0
-0.190 3.547 3.046
-3.544 0.285 3.042
0.754 -0.781 4.551
Li Fe Sm Al
1 1 1 1
Cartesian
0.000 0.000 0.000 Li
-1.489 1.525 5.319 Fe
-2.234 2.288 7.978 Sm
-0.745 0.763 2.659 Al
```

- E_tot (eV per atom) = -4.702
- V (A^3/atom) = 18.1
- magnetic moment (Bohr magnetons per cell) = 2.9
- SG = No. 216

---

Entry 4:
A geometry-optimized LiAlFe2Sn structure, computed with PBE.

POSCAR file:
```
LiAlFe2Sn
1.0
-1.733 -1.336 -4.105
3.741 -2.413 -0.794
-1.956 -3.700 2.030
Al Li Sn Fe
1 1 1 2
Cartesian
0.026 -3.725 -1.434 Al
1.871 -1.207 -0.397 Li
0.000 0.000 0.000 Sn
-0.978 -1.850 1.015 Fe
-0.867 -0.668 -2.053 Fe
```

- E_tot (eV per atom) = -4.096
- V (A^3/atom) = 19.6
- magnetic moment (Bohr magnetons per cell) = 0.2
- SG = No. 123

---

Entry 5:
A geometry-optimized LiTaAlFe structure, computed with PBE.

POSCAR file:
```
LiTaAlFe
1.0
-4.177 -0.580 -0.266
-2.105 -1.722 3.235
-2.615 2.373 2.321
Al Li Fe Ta
1 1 1 1
Cartesian
-6.673 0.053 3.967 Al
0.000 0.000 0.000 Li
-4.448 0.035 2.645 Fe
-2.224 0.018 1.322 Ta
```

- E_tot (eV per atom) = -6.677
- V (A^3/atom) = 13.3
- magnetic moment (Bohr magnetons per cell) = 0.6
- SG = No. 216

---

Entry 6:
A geometry-optimized LiTbAlFe structure, computed with PBE.

POSCAR file:
```
LiTbAlFe
1.0
4.625 0.000 0.000
2.313 4.006 0.000
2.313 1.335 3.776
Li Tb Fe Al
1 1 1 1
Cartesian
4.625 2.670 1.888 Li
6.938 4.006 2.832 Tb
0.000 0.000 0.000 Fe
2.313 1.335 0.944 Al
```

- E_tot (eV per atom) = -4.711
- V (A^3/atom) = 17.5
- magnetic moment (Bohr magnetons per cell) = 2.7
- SG = No. 216

---

Entry 7:
A geometry-optimized Li2AlTlFe structure, computed with PBE.

POSCAR file:
```
Li2AlTlFe
1.0
4.726 0.000 0.000
0.000 5.032 0.000
0.000 0.000 4.726
Tl Li Fe Al
1 2 1 1
Cartesian
0.000 2.516 0.000 Tl
0.000 0.000 2.363 Li
2.363 0.000 0.000 Li
0.000 0.000 0.000 Fe
2.363 2.516 2.363 Al
```

- E_tot (eV per atom) = -3.013
- V (A^3/atom) = 22.5
- magnetic moment (Bohr magnetons per cell) = 2.3
- SG = No. 123

---

Entry 8:
A geometry-optimized LiAlVFe2 structure, computed with PBE.

POSCAR file:
```
LiAlVFe2
1.0
4.058 0.000 0.000
0.000 4.139 0.000
0.000 0.000 4.058
Al Li Fe V
1 1 2 1
Cartesian
2.029 2.069 2.029 Al
0.000 0.000 0.000 Li
0.000 0.000 2.029 Fe
2.029 0.000 0.000 Fe
0.000 2.069 0.000 V
```

- E_tot (eV per atom) = -5.452
- V (A^3/atom) = 13.6
- magnetic moment (Bohr magnetons per cell) = 2.8
- SG = No. 123